Record 1
# TaCN2O | Alexandria | meta-GGA SCAN | PBEsol geometry
data_TaCN2O
_chemical_formula_sum 'Ta1 C1 N2 O1'
_symmetry_space_group_name_H-M 'P 4/m m m'
_symmetry_Int_Tables_number 123
_symmetry_space_group_name_Hall '-P 4 2'
_cell_length_a 4.094
_cell_length_b 4.094
_cell_length_c 3.830
_cell_angle_alpha 90.00
_cell_angle_beta 90.00
_cell_angle_gamma 90.00
loop_
_atom_site_label
_atom_site_type_symbol
_atom_site_fract_x
_atom_site_fract_y
_atom_site_fract_z
_atom_site_occupancy
Ta1 Ta 0.000 0.000 0.000 1
C1 C 0.500 0.500 0.500 1
N1 N 0.000 0.500 0.000 1
O1 O 0.000 0.000 0.500 1
# Crystal system ... tetragonal
# Total moment ... 1.0 μB per cell
# ΔE_f (raw) ... 1049 meV/atom
# VASP energy ... -96.3 eV for the cell shown

Record 2
# TlCNO | Alexandria | meta-GGA SCAN | PBEsol geometry
data_TlCNO
_chemical_formula_sum 'Tl4 C4 N4 O4'
_symmetry_space_group_name_H-M 'I m a 2'
_symmetry_Int_Tables_number 46
_symmetry_space_group_name_Hall 'I 2 -2a'
_cell_length_a 7.023
_cell_length_b 6.236
_cell_length_c 6.276
_cell_angle_alpha 90.00
_cell_angle_beta 90.00
_cell_angle_gamma 90.00
loop_
_atom_site_label
_atom_site_type_symbol
_atom_site_fract_x
_atom_site_fract_y
_atom_site_fract_z
_atom_site_occupancy
Tl1 Tl 0.000 0.000 0.000 1
C1 C 0.250 0.000 0.470 1
N1 N 0.250 0.132 0.330 1
O1 O 0.250 0.635 0.111 1
# Crystal system ... orthorhombic
# Total moment ... 0.0 μB per cell
# ΔE_f (raw) ... -508 meV/atom
# VASP energy ... -400.0 eV for the cell shown

Record 3
# Tm2CN2O2 | Alexandria | meta-GGA SCAN | PBEsol geometry
data_Tm2CN2O2
_chemical_formula_sum 'Tm2 C1 N2 O2'
_symmetry_space_group_name_H-M 'P -3 m 1'
_symmetry_Int_Tables_number 164
_symmetry_space_group_name_Hall '-P 3 2"'
_cell_length_a 3.6180
_cell_length_b 3.6180
_cell_length_c 8.0485
_cell_angle_alpha 90.00
_cell_angle_beta 90.00
_cell_angle_gamma 120.00
loop_
_atom_site_label
_atom_site_type_symbol
_atom_site_fract_x
_atom_site_fract_y
_atom_site_fract_z
_atom_site_occupancy
Tm1 Tm 0.3333 0.6667 0.1756 1
C1 C 0.0000 0.0000 0.5000 1
N1 N 0.0000 0.0000 0.3467 1
O1 O 0.3333 0.6667 0.8979 1
# Crystal system ... trigonal
# Total moment ... 0.0 μB per cell
# ΔE_f (raw) ... -2491 meV/atom
# VASP energy ... -162.2 eV for the cell shown

Record 4
# Y2CN2O2 | Alexandria | meta-GGA SCAN | PBEsol geometry
data_Y2CN2O2
_chemical_formula_sum 'Y4 C2 N4 O4'
_symmetry_space_group_name_H-M 'P 63/m m c'
_symmetry_Int_Tables_number 194
_symmetry_space_group_name_Hall '-P 6c 2c'
_cell_length_a 3.6846
_cell_length_b 3.6846
_cell_length_c 16.2646
_cell_angle_alpha 90.00
_cell_angle_beta 90.00
_cell_angle_gamma 120.00
loop_
_atom_site_label
_atom_site_type_symbol
_atom_site_fract_x
_atom_site_fract_y
_atom_site_fract_z
_atom_site_occupancy
Y1 Y 0.3333 0.6667 0.0884 1
C1 C 0.0000 0.0000 0.2500 1
N1 N 0.0000 0.0000 0.1741 1
O1 O 0.3333 0.6667 0.5514 1
# Crystal system ... hexagonal
# Total moment ... 0.0 μB per cell
# ΔE_f (raw) ... -2451 meV/atom
# VASP energy ... -228.0 eV for the cell shown

Record 5
# Y2CN2O2 | Alexandria | meta-GGA SCAN | PBEsol geometry
data_Y2CN2O2
_chemical_formula_sum 'Y2 C1 N2 O2'
_symmetry_space_group_name_H-M 'P -3 m 1'
_symmetry_Int_Tables_number 164
_symmetry_space_group_name_Hall '-P 3 2"'
_cell_length_a 3.6842
_cell_length_b 3.6842
_cell_length_c 8.1283
_cell_angle_alpha 90.00
_cell_angle_beta 90.00
_cell_angle_gamma 120.00
loop_
_atom_site_label
_atom_site_type_symbol
_atom_site_fract_x
_atom_site_fract_y
_atom_site_fract_z
_atom_site_occupancy
Y1 Y 0.3333 0.6667 0.1769 1
C1 C 0.0000 0.0000 0.5000 1
N1 N 0.0000 0.0000 0.3482 1
O1 O 0.3333 0.6667 0.8971 1
# Crystal system ... trigonal
# Total moment ... 0.0 μB per cell
# ΔE_f (raw) ... -2452 meV/atom
# VASP energy ... -114.0 eV for the cell shown

Record 6
# ZrCNO2 | Alexandria | meta-GGA SCAN | PBEsol geometry
data_ZrCNO2
_chemical_formula_sum 'Zr1 C1 N1 O2'
_symmetry_space_group_name_H-M 'P 4/m m m'
_symmetry_Int_Tables_number 123
_symmetry_space_group_name_Hall '-P 4 2'
_cell_length_a 3.416
_cell_length_b 3.416
_cell_length_c 3.480
_cell_angle_alpha 90.00
_cell_angle_beta 90.00
_cell_angle_gamma 90.00
loop_
_atom_site_label
_atom_site_type_symbol
_atom_site_fract_x
_atom_site_fract_y
_atom_site_fract_z
_atom_site_occupancy
Zr1 Zr 0.000 0.000 0.000 1
C1 C 0.500 0.500 0.500 1
N1 N 0.500 0.500 0.000 1
O1 O 0.000 0.500 0.500 1
# Crystal system ... tetragonal
# Total moment ... 0.0 μB per cell
# ΔE_f (raw) ... -290 meV/atom
# VASP energy ... -64.0 eV for the cell shown

Record 7
# Os3CN | Alexandria | meta-GGA SCAN | PBEsol geometry
data_Os3CN
_chemical_formula_sum 'Os3 C1 N1'
_symmetry_space_group_name_H-M 'P m -3 m'
_symmetry_Int_Tables_number 221
_symmetry_space_group_name_Hall '-P 4 2 3'
_cell_length_a 3.970
_cell_length_b 3.970
_cell_length_c 3.970
_cell_angle_alpha 90.00
_cell_angle_beta 90.00
_cell_angle_gamma 90.00
loop_
_atom_site_label
_atom_site_type_symbol
_atom_site_fract_x
_atom_site_fract_y
_atom_site_fract_z
_atom_site_occupancy
Os1 Os 0.000 0.000 0.500 1
C1 C 0.000 0.000 0.000 1
N1 N 0.500 0.500 0.500 1
# Crystal system ... cubic
# Total moment ... 0.7 μB per cell
# ΔE_f (raw) ... 1994 meV/atom
# VASP energy ... -225.1 eV for the cell shown

Record 8
# PdPb2CN | Alexandria | meta-GGA SCAN | PBEsol geometry
data_PdPb2CN
_chemical_formula_sum 'Pd1 Pb2 C1 N1'
_symmetry_space_group_name_H-M 'P 4/m m m'
_symmetry_Int_Tables_number 123
_symmetry_space_group_name_Hall '-P 4 2'
_cell_length_a 5.421
_cell_length_b 5.421
_cell_length_c 3.600
_cell_angle_alpha 90.00
_cell_angle_beta 90.00
_cell_angle_gamma 90.00
loop_
_atom_site_label
_atom_site_type_symbol
_atom_site_fract_x
_atom_site_fract_y
_atom_site_fract_z
_atom_site_occupancy
Pd1 Pd 0.000 0.000 0.000 1
Pb1 Pb 0.000 0.500 0.000 1
C1 C 0.500 0.500 0.500 1
N1 N 0.000 0.000 0.500 1
# Crystal system ... tetragonal
# Total moment ... 1.2 μB per cell
# ΔE_f (raw) ... 1599 meV/atom
# VASP energy ... -195.7 eV for the cell shown